[1]
Y2SnPt: relaxed, PBE.

As for the electronic total energy: -98.45 eV/cell.

It has space group F-43m (No. 216), with a = 7.1622 Å, b = 7.1622 Å, c = 7.1622 Å, α = 90.00°, β = 90.00° and γ = 90.00°. The distinct sites, in fractional coordinates, are Y at (0.0000, 0.0000, 0.0000), Y at (0.2500, 0.2500, 0.2500), Sn at (0.0000, 0.0000, 0.5000) and Pt at (0.2500, 0.2500, 0.7500).

[2]
Th2FeAs2: relaxed, PBE.

As for the electronic total energy: -72.04 eV/cell.

It has space group I4/mmm (No. 139), with a = 5.2400 Å, b = 5.2400 Å, c = 8.2218 Å, α = 90.00°, β = 90.00° and γ = 90.00°. The distinct sites, in fractional coordinates, are Th at (0.0000, 0.5000, 0.0000), Fe at (0.0000, 0.0000, 0.0000) and As at (0.0000, 0.0000, 0.2867).